Record 1
# Re2RuO

A relaxed structure of Re2RuO (PBE, Alexandria via LeMat-Bulk).

Properties
Raw total energy in eV/atom: -9.12
Energy relative to the lowest polymorph listed for this composition in kJ/mol of formula units: 164
Calculated volume in Å³/atom: 13.27
Formation energy from raw total energies in eV/atom: 0.660

Unit cell a=5.966 b=5.966 c=5.966 alpha=90.00 beta=90.00 gamma=90.00
Space group Fm-3m (No. 225)
Inequivalent atoms, fractional coordinates:
Re 0.250 0.250 0.250 [8 per cell]
Ru 0.000 0.000 0.000 [4 per cell]
O 0.000 0.000 0.500 [4 per cell]


Record 2
# Cs2YPbCl6

A relaxed structure of Cs2YPbCl6 (PBE, Alexandria via LeMat-Bulk).

Properties
Raw total energy in eV/atom: -4.12
Calculated volume in Å³/atom: 37.97
Formation energy from raw total energies in eV/atom: -1.825

Unit cell a=7.334 b=7.594 c=8.069 alpha=116.47 beta=106.78 gamma=90.88
Space group P-1 (No. 2)
Inequivalent atoms, fractional coordinates:
Cs 0.222 0.224 0.450 [2 per cell]
Y 0.000 0.500 0.000 [1 per cell]
Pb 0.500 0.000 0.000 [1 per cell]
Cl 0.176 0.184 0.868 [2 per cell]
Cl 0.184 0.667 0.850 [2 per cell]
Cl 0.271 0.674 0.346 [2 per cell]


Record 3
# TcN

A relaxed structure of TcN (PBE, Alexandria via LeMat-Bulk).

Properties
Raw total energy in eV/atom: -9.10
Energy relative to the lowest polymorph listed for this composition in kJ/mol of formula units: 47
Calculated volume in Å³/atom: 12.20
Formation energy from raw total energies in eV/atom: 0.247

Unit cell a=3.2790 b=3.2790 c=5.2390 alpha=90.00 beta=90.00 gamma=120.00
Space group P6_3mc (No. 186)
Inequivalent atoms, fractional coordinates:
Tc 0.3333 0.6667 0.0000 [2 per cell]
N 0.3333 0.6667 0.6200 [2 per cell]


Record 4
# DyMg4Zn2

A relaxed structure of DyMg4Zn2 (PBE, Alexandria via LeMat-Bulk).

Properties
Raw total energy in eV/atom: -2.08
DFT formation energy in eV per atom: -0.143
Calculated volume in Å³/atom: 21.67

Unit cell a=4.283 b=16.737 c=4.231 alpha=90.00 beta=90.00 gamma=90.00
Space group Cmmm (No. 65)
Inequivalent atoms, fractional coordinates:
Dy 0.000 0.000 0.000 [2 per cell]
Mg 0.000 0.176 0.500 [4 per cell]
Mg 0.000 0.322 0.000 [4 per cell]
Zn 0.000 0.428 0.500 [4 per cell]


Record 5
# NaYMn2Au

A relaxed structure of NaYMn2Au (PBE, Alexandria via LeMat-Bulk).

Properties
Raw total energy in eV/atom: -4.90
DFT formation energy in eV per atom: 0.983
Calculated volume in Å³/atom: 31.19

Unit cell a=5.365 b=5.365 c=5.418 alpha=90.00 beta=90.00 gamma=90.00
Space group P4/mmm (No. 123)
Inequivalent atoms, fractional coordinates:
Na 0.000 0.000 0.000 [1 per cell]
Y 0.500 0.500 0.500 [1 per cell]
Mn 0.000 0.500 0.500 [2 per cell]
Au 0.500 0.500 0.000 [1 per cell]


Record 6
# CsPrPb2Cl8

A relaxed structure of CsPrPb2Cl8 (PBE, Alexandria via LeMat-Bulk).

Properties
Raw total energy in eV/atom: -3.97
Calculated volume in Å³/atom: 36.32
Formation energy from raw total energies in eV/atom: -1.648

Unit cell a=6.745 b=6.973 c=9.270 alpha=89.76 beta=89.76 gamma=88.98
Space group P-1 (No. 2)
Inequivalent atoms, fractional coordinates:
Cs 0.000 0.000 0.000 [1 per cell]
Pr 0.000 0.000 0.500 [1 per cell]
Pb 0.500 0.500 0.248 [2 per cell]
Cl 0.244 0.836 0.708 [2 per cell]
Cl 0.244 0.837 0.291 [2 per cell]
Cl 0.252 0.320 0.499 [2 per cell]
Cl 0.275 0.395 0.002 [2 per cell]


Record 7
# BaMoRh2

A relaxed structure of BaMoRh2 (PBE, Alexandria via LeMat-Bulk).

Properties
Raw total energy in eV/atom: -6.27
DFT formation energy in eV per atom: 0.590
Energy relative to the lowest polymorph listed for this composition in kJ/mol of formula units: 179
Calculated volume in Å³/atom: 19.97

Unit cell a=2.969 b=5.049 c=10.654 alpha=90.00 beta=90.00 gamma=90.00
Space group Imm2 (No. 44)
Inequivalent atoms, fractional coordinates:
Ba 0.000 0.000 0.000 [2 per cell]
Mo 0.000 0.500 0.782 [2 per cell]
Rh 0.000 0.000 0.484 [2 per cell]
Rh 0.000 0.500 0.219 [2 per cell]


Record 8
# NaLi4Pb

A relaxed structure of NaLi4Pb (PBE, Alexandria via LeMat-Bulk).

Properties
Raw total energy in eV/atom: -2.24
DFT formation energy in eV per atom: -0.124
Energy relative to the lowest polymorph listed for this composition in kJ/mol of formula units: 0
Calculated volume in Å³/atom: 20.59

Unit cell a=7.906 b=7.906 c=7.906 alpha=90.00 beta=90.00 gamma=90.00
Space group F-43m (No. 216)
Inequivalent atoms, fractional coordinates:
Na 0.000 0.000 0.000 [4 per cell]
Li 0.123 0.123 0.377 [16 per cell]
Pb 0.250 0.250 0.750 [4 per cell]


Record 9
# BaPrAg

A relaxed structure of BaPrAg (PBE, Alexandria via LeMat-Bulk).

Properties
Raw total energy in eV/atom: -3.26
DFT formation energy in eV per atom: -0.075
Energy relative to the lowest polymorph listed for this composition in kJ/mol of formula units: 0
Calculated volume in Å³/atom: 36.91

Unit cell a=3.974 b=3.974 c=14.024 alpha=90.00 beta=90.00 gamma=90.00
Space group I4mm (No. 107)
Inequivalent atoms, fractional coordinates:
Ba 0.000 0.000 0.000 [2 per cell]
Pr 0.000 0.000 0.269 [2 per cell]
Ag 0.000 0.000 0.663 [2 per cell]


Record 10
# Ba4SrCd

A relaxed structure of Ba4SrCd (PBE, Alexandria via LeMat-Bulk).

Properties
Raw total energy in eV/atom: -1.77
DFT formation energy in eV per atom: -0.052
Energy relative to the lowest polymorph listed for this composition in kJ/mol of formula units: 27
Calculated volume in Å³/atom: 55.56

Unit cell a=11.292 b=16.271 c=7.621 alpha=90.00 beta=107.77 gamma=90.00
Space group C2/c (No. 15)
Inequivalent atoms, fractional coordinates:
Ba 0.107 0.171 0.051 [8 per cell]
Ba 0.232 0.402 0.377 [8 per cell]
Sr 0.000 0.394 0.750 [4 per cell]
Cd 0.000 0.000 0.250 [4 per cell]


Record 11
# AlTlC3

A relaxed structure of AlTlC3 (PBE, Alexandria via LeMat-Bulk).

Properties
Raw total energy in eV/atom: -3.29
DFT formation energy in eV per atom: 3.462
Energy relative to the lowest polymorph listed for this composition in kJ/mol of formula units: 583
Calculated volume in Å³/atom: 17.16

Unit cell a=4.411 b=4.411 c=4.411 alpha=90.00 beta=90.00 gamma=90.00
Space group Pm-3m (No. 221)
Inequivalent atoms, fractional coordinates:
Al 0.000 0.000 0.000 [1 per cell]
Tl 0.500 0.500 0.500 [1 per cell]
C 0.000 0.500 0.500 [3 per cell]


Record 12
# Rb2BiSbF6

A relaxed structure of Rb2BiSbF6 (PBE, Alexandria via LeMat-Bulk).

Properties
Raw total energy in eV/atom: -4.29
Calculated volume in Å³/atom: 24.72
Formation energy from raw total energies in eV/atom: -2.171

Unit cell a=6.456 b=6.456 c=11.861 alpha=90.00 beta=90.00 gamma=90.00
Space group I4/mmm (No. 139)
Inequivalent atoms, fractional coordinates:
Rb 0.000 0.500 0.250 [4 per cell]
Bi 0.000 0.000 0.000 [2 per cell]
Sb 0.000 0.000 0.500 [2 per cell]
F 0.000 0.000 0.317 [4 per cell]
F 0.240 0.240 0.500 [8 per cell]


Record 13
# RbZnAu2Br

A relaxed structure of RbZnAu2Br (PBE, Alexandria via LeMat-Bulk).

Properties
Raw total energy in eV/atom: -1.34
Calculated volume in Å³/atom: 48.85
Formation energy from raw total energies in eV/atom: 0.754

Unit cell a=6.266 b=6.266 c=6.222 alpha=90.00 beta=90.00 gamma=90.00
Space group P4/mmm (No. 123)
Inequivalent atoms, fractional coordinates:
Rb 0.000 0.000 0.000 [1 per cell]
Zn 0.500 0.500 0.500 [1 per cell]
Au 0.000 0.500 0.000 [2 per cell]
Br 0.000 0.000 0.500 [1 per cell]


Record 14
# CrSb3As

A relaxed structure of CrSb3As (PBE, Alexandria via LeMat-Bulk).

Properties
Raw total energy in eV/atom: -4.38
Energy relative to the lowest polymorph listed for this composition in kJ/mol of formula units: 215
Calculated volume in Å³/atom: 30.50
Formation energy from raw total energies in eV/atom: 0.951

Unit cell a=5.343 b=5.343 c=5.343 alpha=90.00 beta=90.00 gamma=90.00
Space group Pm-3m (No. 221)
Inequivalent atoms, fractional coordinates:
Cr 0.000 0.000 0.000 [1 per cell]
Sb 0.000 0.500 0.500 [3 per cell]
As 0.500 0.500 0.500 [1 per cell]